Entry from Alexandria: a relaxed structure of LaCeRu (PBE).

abc: 5.0994 4.3540 4.3540
angles: 120.00 90.00 90.00
Fractional coordinates of all 3 atoms:
La (0.6667, 0.6667, 0.3333)
Ce (0.1666, 0.3333, 0.6667)
Ru (0.1667, 0.0000, 0.0000)

Summary:
- energy relative to the elements (eV per atom) = -0.177
- SG = No. 187
- total moment (μB/cell) = 0.00